## FeAuN3 (meta-GGA SCAN)

Data for a crystal of FeAuN3 relaxed with PBEsol.

The value obtained for the energy relative to the elements, uncorrected is 1.508 eV per atom. Its total energy is -21.524 eV/atom. As for the volume: 10.0 A^3/atom.

a = 3.684 Å, b = 3.684 Å, c = 3.684 Å
α = 90.00°, β = 90.00°, γ = 90.00°
Sites, in units of the cell vectors:
Fe 0.000 0.000 0.000
Au 0.500 0.500 0.500
N 0.000 0.000 0.500
N 0.000 0.500 0.000
N 0.500 0.000 0.000

## Fe2NiAuN (meta-GGA SCAN)

Data for a crystal of Fe2NiAuN relaxed with PBEsol.

The value obtained for the energy relative to the elements, uncorrected is 2.103 eV per atom. Its total energy is -24.073 eV/atom. As for the volume: 19.8 A^3/atom.

a = 4.645 Å, b = 4.645 Å, c = 4.583 Å
α = 90.00°, β = 90.00°, γ = 90.00°
Sites, in units of the cell vectors:
Fe 0.000 0.500 0.000
Fe 0.500 0.000 0.000
Ni 0.000 0.000 0.500
Au 0.000 0.000 0.000
N 0.500 0.500 0.500